(1)
A plane-wave DFT calculation with PBEsol was carried out for a relaxed NbSiF2 crystal.

theoretical density	3.98	g/cm³
total energy	-6.021	eV per atom
E_form (uncorrected)	-3.66	eV per formula unit

Cell lengths 7.305, 7.305, 4.967 Å; angles 90.00, 90.00, 90.00 degrees
Space group I-42d (No. 122)
Asymmetric unit:
Nb1 0.000 0.000 0.000
Si1 0.000 0.000 0.500
F1 0.118 0.250 0.125

---

(2)
A plane-wave DFT calculation with PBEsol was carried out for a relaxed ScZn crystal.

energy of formation from the pure elements	-22.1	kJ/mol of atoms
theoretical density	4.93	g/cm³
total energy	-4.323	eV per atom

Cell lengths 4.123, 9.497, 5.700 Å; angles 90.00, 90.00, 90.00 degrees
Space group Imm2 (No. 44)
Asymmetric unit:
Sc1 0.000 0.000 0.000
Sc2 0.000 0.320 0.221
Zn1 0.000 0.000 0.493
Zn2 0.000 0.368 0.748

---

(3)
A plane-wave DFT calculation with PBEsol was carried out for a relaxed TaNi2W crystal.

energy of formation from the pure elements	-7.0	kJ/mol of atoms
theoretical density	14.76	g/cm³
total energy	-9.741	eV per atom

Cell lengths 3.111, 3.111, 5.603 Å; angles 90.00, 90.00, 90.00 degrees
Space group P4mm (No. 99)
Asymmetric unit:
Ta1 0.000 0.000 0.000
Ni1 0.000 0.000 0.536
Ni2 0.500 0.500 0.766
W1 0.500 0.500 0.313

---

(4)
A plane-wave DFT calculation with PBEsol was carried out for a relaxed ZrScFe2 crystal.

energy of formation from the pure elements	-15.6	kJ/mol of atoms
theoretical density	6.94	g/cm³
total energy	-8.567	eV per atom

Cell lengths 3.096, 3.096, 6.185 Å; angles 90.00, 90.00, 90.00 degrees
Space group P4/mmm (No. 123)
Asymmetric unit:
Zr1 0.000 0.000 0.000
Sc1 0.000 0.000 0.500
Fe1 0.500 0.500 0.244

---

(5)
A plane-wave DFT calculation with PBEsol was carried out for a relaxed Er2Rh crystal.

energy of formation from the pure elements	-61.6	kJ/mol of atoms
theoretical density	10.69	g/cm³
total energy	-6.636	eV per atom

Cell lengths 6.689, 6.689, 6.071 Å; angles 90.00, 90.00, 90.00 degrees
Space group I4/mcm (No. 140)
Asymmetric unit:
Er1 0.178 0.322 0.000
Rh1 0.000 0.000 0.250

---

(6)
A plane-wave DFT calculation with PBEsol was carried out for a relaxed NaSi3BO8 crystal.

theoretical density	2.74	g/cm³
total energy	-7.878	eV per atom
E_form (uncorrected)	-34.76	eV per formula unit

Cell lengths 6.845, 7.221, 7.476 Å; angles 115.13, 100.80, 107.03 degrees
Space group P-1 (No. 2)
Asymmetric unit:
Na1 0.133 0.264 0.249
Si1 0.209 0.816 0.197
Si2 0.320 0.804 0.601
Si3 0.354 0.549 0.821
B1 0.222 0.173 0.852
O1 0.004 0.143 0.872
O2 0.203 0.707 0.349
O3 0.211 0.943 0.748
O4 0.233 0.651 0.982
O5 0.273 0.281 0.732
O6 0.275 0.572 0.611
O7 0.382 0.308 0.072
O8 0.417 0.062 0.326

---

Number 1: volume 265.1 Å³ per cell. Number 2: volume 223.2 Å³ per cell. Number 3: volume 54.2 Å³ per cell. Number 4: volume 59.3 Å³ per cell. Number 5: volume 271.7 Å³ per cell. Number 6: volume 298.4 Å³ per cell.